(1)
! CeY3Pu2N6, optimized geometry, DFT PBE; values from VASP
! Spin magnetization ... 9.94 μB per formula unit
! Raw formation energy ... -1504 meV/atom
! N(E_F) ... 13.4 states/eV/cell
! Volume ... 181 Å³/f.u.
&SYSTEM
  ibrav = 0, nat = 12, ntyp = 4
/
ATOMIC_SPECIES
Ce 140.12 Ce.upf
Y 88.91 Y.upf
Pu 244.00 Pu.upf
N 14.01 N.upf
ATOMIC_POSITIONS angstrom
Ce 0.0000 0.0000 0.0000
Y -2.0171 3.4955 2.8494
Y 4.0358 -0.0002 2.8494
Y 1.0093 1.7477 2.8494
Pu 0.0013 3.4957 0.0005
Pu 3.0272 1.7481 0.0005
N 3.0462 1.7132 4.3055
N 2.0004 3.4637 1.3977
N -1.0275 1.7821 1.3933
N -0.0384 3.4947 4.3055
N 0.0183 0.0316 4.3010
N 2.0571 0.0007 1.3933
CELL_PARAMETERS angstrom
6.0540 0.0000 0.0005
-3.0255 5.2438 0.0005
-1.0098 -1.7485 5.6978

(2)
! CeYPuN3, optimized geometry, DFT PBE; values from VASP
! Spin magnetization ... 5.90 μB per formula unit
! Raw formation energy ... -1291 meV/atom
! N(E_F) ... 13.6 states/eV/cell
! Volume ... 95 Å³/f.u.
&SYSTEM
  ibrav = 0, nat = 12, ntyp = 4
/
ATOMIC_SPECIES
Ce 140.12 Ce.upf
Y 88.91 Y.upf
Pu 244.00 Pu.upf
N 14.01 N.upf
ATOMIC_POSITIONS angstrom
Ce 0.8488 -0.6825 8.9225
Ce 0.4700 0.0115 2.9849
Y -1.6222 -2.8743 3.1616
Y 2.9411 2.2034 8.7459
Pu 2.2909 0.3103 5.9217
Pu -0.9721 -0.9812 5.9858
N 1.1235 -1.6802 6.5514
N -2.6926 -2.8280 5.3959
N -1.8536 -0.5112 3.7056
N 0.1953 1.0093 5.3561
N 3.1724 -0.1597 8.2018
N 4.0115 2.1571 6.5116
CELL_PARAMETERS angstrom
-2.4801 1.8805 1.3465
-1.7701 -4.6638 3.2531
5.5691 2.1123 7.3078

(3)
! Ce3YPu2N6, optimized geometry, DFT PBE; values from VASP
! Spin magnetization ... 11.07 μB per formula unit
! Raw formation energy ... -1449 meV/atom
! N(E_F) ... 13.3 states/eV/cell
! Volume ... 186 Å³/f.u.
&SYSTEM
  ibrav = 0, nat = 12, ntyp = 4
/
ATOMIC_SPECIES
Ce 140.12 Ce.upf
Y 88.91 Y.upf
Pu 244.00 Pu.upf
N 14.01 N.upf
ATOMIC_POSITIONS angstrom
Ce -0.4835 -4.5269 2.0436
Ce -2.2627 2.0414 3.9517
Ce -1.3731 -1.2428 2.9977
Y 0.0000 0.0000 0.0000
Pu -2.4518 -2.5325 -0.1006
Pu -3.3397 0.7455 0.8517
N -2.4845 -0.2084 5.0295
N -3.5640 -1.4924 1.8143
N -0.2616 -2.2771 0.9658
N -1.5835 -3.5349 4.0631
N 0.8178 -0.9931 4.1811
N -1.1627 1.0494 1.9322
CELL_PARAMETERS angstrom
-4.2270 4.0215 1.8034
-1.5644 -5.8084 -1.0523
3.0453 -0.6986 5.2442

(4)
! Ce3Y2PuN6, optimized geometry, DFT PBE; values from VASP
! Spin magnetization ... 6.08 μB per formula unit
! Raw formation energy ... -1507 meV/atom
! N(E_F) ... 13.4 states/eV/cell
! Volume ... 186 Å³/f.u.
&SYSTEM
  ibrav = 0, nat = 12, ntyp = 4
/
ATOMIC_SPECIES
Ce 140.12 Ce.upf
Y 88.91 Y.upf
Pu 244.00 Pu.upf
N 14.01 N.upf
ATOMIC_POSITIONS angstrom
Ce -0.4778 -4.7771 1.3318
Ce -2.6212 -0.9080 -4.1385
Ce -1.5495 -2.8425 -1.4033
Y 1.8721 -2.9339 -0.5443
Y 0.7991 -0.9971 -3.2827
Pu 0.0000 0.0000 0.0000
N -2.8703 -3.3299 -3.4667
N 0.5953 -3.3904 -2.6312
N -0.2288 -2.3552 0.6600
N -1.8107 -5.2426 -0.7623
N -3.6943 -2.2947 -0.1755
N -1.2884 -0.4425 -2.0443
CELL_PARAMETERS angstrom
-0.2748 0.9413 -6.0233
2.9459 -4.8723 2.1964
-5.7702 -1.7541 1.0203

(5)
! Ce2PuZrN5, optimized geometry, DFT PBE; values from VASP
! Spin magnetization ... 5.04 μB per formula unit
! Raw formation energy ... -1330 meV/atom
! N(E_F) ... 19.3 states/eV/cell
! Volume ... 139 Å³/f.u.
&SYSTEM
  ibrav = 0, nat = 18, ntyp = 4
/
ATOMIC_SPECIES
Ce 140.12 Ce.upf
Pu 244.00 Pu.upf
Zr 91.22 Zr.upf
N 14.01 N.upf
ATOMIC_POSITIONS angstrom
Ce 4.7392 5.7349 6.5503
Ce 6.0717 4.2813 3.3279
Ce 1.8317 1.3738 2.4439
Ce -0.1740 2.3635 5.4885
Pu 2.7003 4.2525 4.6503
Pu 8.3184 5.9204 5.5184
Zr 7.8255 7.5786 2.4147
Zr 2.9729 2.4425 7.6959
N -0.3867 0.0438 5.3347
N 6.1642 6.5933 4.7665
N 5.9761 4.4911 8.1314
N 4.9522 3.6316 5.1623
N 2.7084 4.3914 6.9890
N 3.8867 4.9492 2.8486
N 2.4080 1.8941 4.7562
N 1.6276 3.3291 1.1356
N -0.4567 2.0472 3.2839
N 0.1839 0.1829 1.0339
CELL_PARAMETERS angstrom
-2.0044 2.9746 -0.1698
-0.3885 -2.0414 6.7970
9.0606 6.2421 2.3926

(6)
! CePu3Zr2N6, optimized geometry, DFT PBE; values from VASP
! Spin magnetization ... 14.53 μB per formula unit
! Raw formation energy ... -1467 meV/atom
! N(E_F) ... 18.2 states/eV/cell
! Volume ... 169 Å³/f.u.
&SYSTEM
  ibrav = 0, nat = 12, ntyp = 4
/
ATOMIC_SPECIES
Ce 140.12 Ce.upf
Pu 244.00 Pu.upf
Zr 91.22 Zr.upf
N 14.01 N.upf
ATOMIC_POSITIONS angstrom
Ce 0.0000 0.0000 0.0000
Pu -1.8049 0.0209 4.4913
Pu 0.3213 4.8292 0.0770
Pu -0.7418 2.4250 2.2842
Zr -3.1406 0.1863 1.3552
Zr -2.0791 2.5869 -0.8487
N -0.5023 4.8905 2.3017
N -2.9171 2.5230 1.3431
N -0.9813 -0.0404 2.2666
N -1.6109 2.3834 4.6034
N 1.4336 2.3271 3.2252
N 0.1274 2.4667 -0.0351
CELL_PARAMETERS angstrom
-1.0188 4.9847 -3.0500
-4.2009 -2.2115 3.5566
3.7362 2.0769 4.0618

(7)
! Ce2PuZrN4, optimized geometry, DFT PBE; values from VASP
! Spin magnetization ... 4.97 μB per formula unit
! Raw formation energy ... -1514 meV/atom
! N(E_F) ... 8.8 states/eV/cell
! Volume ... 117 Å³/f.u.
&SYSTEM
  ibrav = 0, nat = 8, ntyp = 4
/
ATOMIC_SPECIES
Ce 140.12 Ce.upf
Pu 244.00 Pu.upf
Zr 91.22 Zr.upf
N 14.01 N.upf
ATOMIC_POSITIONS angstrom
Ce 1.7221 -1.0392 2.8336
Ce 0.0000 1.9425 2.8884
Pu 1.7221 2.9817 0.0548
Zr 0.0000 0.0000 0.0000
N 1.7221 0.9274 1.3163
N 1.7221 2.9575 4.4604
N 0.0000 -0.1269 4.3948
N 0.0000 4.0118 1.3819
CELL_PARAMETERS angstrom
3.4442 0.0000 0.0000
0.0000 5.9634 0.1096
0.0000 -2.0785 5.6672

(8)
! Ce2PuZr3N6, optimized geometry, DFT PBE; values from VASP
! Spin magnetization ... 4.86 μB per formula unit
! Raw formation energy ... -1610 meV/atom
! N(E_F) ... 9.8 states/eV/cell
! Volume ... 166 Å³/f.u.
&SYSTEM
  ibrav = 0, nat = 12, ntyp = 4
/
ATOMIC_SPECIES
Ce 140.12 Ce.upf
Pu 244.00 Pu.upf
Zr 91.22 Zr.upf
N 14.01 N.upf
ATOMIC_POSITIONS angstrom
Ce 2.0365 4.6327 3.3456
Ce 1.4299 2.3421 0.9403
Pu -0.8395 -0.0715 1.4548
Zr 2.1244 -0.1687 3.1603
Zr -0.9412 4.7339 1.6322
Zr 4.4076 2.2409 2.6536
N 4.4522 4.5793 2.7943
N 2.1863 2.1375 3.3094
N -0.9858 2.3955 1.4916
N -0.9047 7.0378 1.7665
N 4.3712 -0.0629 2.5193
N 1.2801 4.8374 0.9765
CELL_PARAMETERS angstrom
-1.6790 -0.1430 2.9095
5.9277 -0.1944 3.4111
-0.7823 7.3123 -2.0348